# SrAl2Ga2Ir (PBE, relaxed)
# E_tot: -4.566 eV/atom
# magnetization: 0.002 μB per formula unit
data_SrAl2Ga2Ir
_chemical_formula_sum 'Sr2 Al4 Ga4 Ir2'
_cell_length_a 8.0234
_cell_length_b 4.0999
_cell_length_c 7.2561
_cell_angle_alpha 90.00
_cell_angle_beta 90.00
_cell_angle_gamma 90.00
_symmetry_space_group_name_H-M 'P 1'
_symmetry_Int_Tables_number 1
_symmetry_space_group_name_Hall 'P 1'
loop_
_atom_site_label
_atom_site_type_symbol
_atom_site_fract_x
_atom_site_fract_y
_atom_site_fract_z
_atom_site_occupancy
Sr1 Sr 0.2500 0.0000 0.1087 1
Sr2 Sr 0.7500 0.0000 0.8913 1
Al1 Al 0.0000 0.0000 0.5000 1
Al2 Al 0.2500 0.5000 0.4581 1
Al3 Al 0.5000 0.0000 0.5000 1
Al4 Al 0.7500 0.5000 0.5419 1
Ga1 Ga 0.0576 0.5000 0.7923 1
Ga2 Ga 0.4424 0.5000 0.7923 1
Ga3 Ga 0.5576 0.5000 0.2077 1
Ga4 Ga 0.9424 0.5000 0.2077 1
Ir1 Ir 0.2500 0.0000 0.6772 1
Ir2 Ir 0.7500 0.0000 0.3228 1